Material: AlPPb2
Method: DFT, GGA-PBE
State: relaxed

POSCAR file:
```
AlPPb2
1.0
6.6679 0.0000 0.0000
0.0000 7.4765 0.0000
-0.0081 0.0000 3.8909
Al P Pb
2 2 4
Cartesian
0.0000 0.0000 0.0000
3.3339 3.7383 0.0000
0.0000 3.7383 0.0000
3.3339 0.0000 0.0000
1.6629 1.8691 1.9455
1.6629 5.6074 1.9455
4.9969 1.8691 1.9455
4.9969 5.6074 1.9455
```

Values from the calculation:
- Density of states at the Fermi level: 0.485 states/eV/atom
- Distance to the lowest polymorph of the same formula: 0.335 eV/atom
- Calculated volume: 24.2 Å³/atom